1.
Entry from Alexandria via LeMat-Bulk: Zn2CoB2Ir5 after structural relaxation (PBE).

Summary:
ΔH_f (0 K) ... -12.64 kJ/mol of atoms
Space group ... No. 127

The structure in extended XYZ format:
```
20
Lattice="2.866 0.000 0.000 0.000 9.439 0.000 0.000 0.000 9.439" Properties=species:S:1:pos:R:3 pbc="T T T"
Zn 0.000 6.389 1.669
Zn 0.000 3.051 7.770
Zn 0.000 1.669 3.051
Zn 0.000 7.770 6.389
Co 0.000 0.000 0.000
Co 0.000 4.720 4.720
B 0.000 1.200 5.919
B 0.000 8.240 3.520
B 0.000 5.919 8.240
B 0.000 3.520 1.200
Ir 1.433 2.000 0.696
Ir 1.433 7.439 8.743
Ir 1.433 0.696 7.439
Ir 1.433 6.720 4.024
Ir 1.433 8.743 2.000
Ir 1.433 2.719 5.416
Ir 1.433 5.416 6.720
Ir 1.433 4.024 2.719
Ir 1.433 4.720 0.000
Ir 1.433 0.000 4.720
```

***

2.
Entry from Alexandria via LeMat-Bulk: ZrCo2BIr after structural relaxation (PBE).

Summary:
ΔH_f (0 K) ... -45.86 kJ/mol of atoms
Space group ... No. 123

The structure in extended XYZ format:
```
5
Lattice="-3.106 2.440 0.070 -2.436 -3.091 -0.338 -0.159 -0.320 4.071" Properties=species:S:1:pos:R:3 pbc="T T T"
B 0.000 0.000 0.000
Ir -0.080 -0.160 2.036
Co -1.218 -1.546 -0.169
Co -1.553 1.220 0.035
Zr -2.851 -0.486 1.901
```

***

3.
Entry from Alexandria via LeMat-Bulk: ZrCoB2Ir after structural relaxation (PBE).

Summary:
ΔH_f (0 K) ... 48.97 kJ/mol of atoms
Space group ... No. 123

The structure in extended XYZ format:
```
5
Lattice="3.970 0.000 0.000 0.000 4.711 0.000 0.000 0.000 3.970" Properties=species:S:1:pos:R:3 pbc="T T T"
B 0.000 0.000 1.985
B 1.985 0.000 0.000
Ir 0.000 0.000 0.000
Co 0.000 2.356 0.000
Zr 1.985 2.356 1.985
```

***

4.
Entry from Alexandria via LeMat-Bulk: ZrCoB2Ir2 after structural relaxation (PBE).

Summary:
ΔH_f (0 K) ... -19.70 kJ/mol of atoms
Space group ... No. 139

The structure in extended XYZ format:
```
6
Lattice="-3.408 -1.752 0.757 0.835 -2.762 -2.633 3.638 -0.669 4.753" Properties=species:S:1:pos:R:3 pbc="T T T"
Zr -1.287 -2.257 -0.938
Co 0.000 0.000 0.000
B 0.234 -4.149 1.528
B 0.831 -1.034 1.348
Ir 1.593 -2.844 0.591
Ir -0.528 -2.339 2.286
```